A plane-wave DFT calculation with GGA-PBE was carried out for an optimized crystal structure of NdSmCuHg.

Unit cell a=3.6634 b=3.6634 c=7.5315 alpha=90.00 beta=90.00 gamma=90.00
Atoms (fractional coordinates):
Nd1 0.0000 0.0000 0.0000
Sm1 0.0000 0.0000 0.4584
Cu1 0.5000 0.5000 0.2382
Hg1 0.5000 0.5000 0.7240

Output
Density = 9.18 Mg/m³
Energy above the lowest structure with this stoichiometry = 0 meV/atom
Symmetry = P4mm (99)
Size of the total moment = 0.00 μB/f.u.
E_form = -0.308 eV per atom